Material: La2ErRhO6
Method: DFT, PBE
State: optimized geometry

Values from the calculation:
E_tot: -0.58441 Ry/atom
Formation energy from raw total energies: -2800 meV per atom

Cell lengths 5.724, 5.936, 9.900 Å; angles 90.00, 124.18, 90.00 degrees
Space group P2_1/c (No. 14)
One atom of each set of equivalent atoms:
1 La 0.232 0.055 0.249
2 Er 0.500 0.000 0.000
3 Rh 0.000 0.000 0.500
4 O 0.133 0.207 0.943
5 O 0.236 0.697 0.943
6 O 0.351 0.041 0.741